[1]
RbH3Rh: relaxed, PBE-GGA.

Unit cell a=5.872 b=10.172 c=5.272 alpha=90.00 beta=90.54 gamma=90.00
Space group C2/c (No. 15)
One atom of each set of equivalent atoms:
1 Rb 0.000 0.167 0.250 (multiplicity 4)
2 H 0.000 0.382 0.750 (multiplicity 4)
3 H 0.178 0.441 0.252 (multiplicity 8)
4 Rh 0.000 0.500 0.000 (multiplicity 4)

Values from the calculation:
offset from the most stable computed form	0.0	kJ per mole of atoms



[2]
CsAlIr3: relaxed, PBE-GGA.

Unit cell a=5.001 b=5.001 c=5.001 alpha=90.00 beta=90.00 gamma=90.00
Space group Pm-3m (No. 221)
One atom of each set of equivalent atoms:
1 Cs 0.000 0.000 0.000 (multiplicity 1)
2 Al 0.500 0.500 0.500 (multiplicity 1)
3 Ir 0.000 0.000 0.500 (multiplicity 3)

Values from the calculation:
offset from the most stable computed form	174.5	kJ per mole of atoms
ΔH_f (0 K)	3.022	eV/atom



[3]
Tb4BeCo3: relaxed, PBE-GGA.

Unit cell a=3.873 b=3.968 c=10.565 alpha=90.00 beta=90.00 gamma=90.00
Space group Pmm2 (No. 25)
One atom of each set of equivalent atoms:
1 Tb 0.000 0.000 0.000 (multiplicity 1)
2 Tb 0.000 0.500 0.496 (multiplicity 1)
3 Tb 0.500 0.000 0.716 (multiplicity 1)
4 Tb 0.500 0.500 0.216 (multiplicity 1)
5 Be 0.000 0.500 0.805 (multiplicity 1)
6 Co 0.000 0.000 0.297 (multiplicity 1)
7 Co 0.500 0.000 0.416 (multiplicity 1)
8 Co 0.500 0.500 0.907 (multiplicity 1)

Values from the calculation:
ΔH_f (0 K)	-0.151	eV/atom



no.,total energy (eV per atom)
1,-3.901
2,-3.214
3,-5.596